Entry 1:
5
Lattice="5.732 0.000 0.000 0.000 5.217 0.000 0.000 0.000 5.732" Properties=species:S:1:pos:R:3 comment="Sr2TaCdPt | Alexandria via LeMat-Bulk | PBE | optimized geometry" magmom_total_mub_per_atom=0.852 formation_energy_kj_per_mol_atoms=60.2 energy_ev_per_atom=-3.810 pbc="T T T"
Pt 0.000 0.000 0.000
Sr 2.866 0.000 0.000
Sr 0.000 0.000 2.866
Cd 0.000 2.609 0.000
Ta 2.866 2.609 2.866

---

Entry 2:
4
Lattice="5.242 0.000 0.000 2.621 4.540 0.000 2.621 1.513 4.280" Properties=species:S:1:pos:R:3 comment="SrTbCdPt | Alexandria via LeMat-Bulk | PBE | optimized geometry" magmom_total_mub_per_atom=0.000 formation_energy_kj_per_mol_atoms=-52.5 energy_ev_per_atom=-3.862 pbc="T T T"
Tb 5.242 3.026 2.140
Pt 7.863 4.540 3.210
Cd 2.621 1.513 1.070
Sr 0.000 0.000 0.000

---

Entry 3:
5
Lattice="5.800 0.000 0.000 0.000 5.800 0.000 0.000 0.000 5.171" Properties=species:S:1:pos:R:3 comment="Sr2CdTePt | Alexandria via LeMat-Bulk | PBE | optimized geometry" formation_energy_uncorrected_mev_per_atom=-809 magmom_total_mub_per_atom=0.000 energy_ev_per_atom=-3.501 pbc="T T T"
Sr 2.900 0.000 0.000
Sr 0.000 2.900 0.000
Cd 0.000 0.000 2.585
Pt 0.000 0.000 0.000
Te 2.900 2.900 2.585

---

Entry 4:
5
Lattice="-2.026 5.295 1.337 -4.471 -2.427 2.837 2.831 -0.036 4.431" Properties=species:S:1:pos:R:3 comment="Sr2TlCdPt | Alexandria via LeMat-Bulk | PBE | optimized geometry" magmom_total_mub_per_atom=0.000 formation_energy_kj_per_mol_atoms=-39.6 polymorph_energy_mev_per_atom=0.0 energy_ev_per_atom=-2.947 pbc="T T T"
Sr -1.013 2.647 0.668
Sr -2.235 -1.214 1.419
Tl -1.833 1.416 4.302
Pt 0.000 0.000 0.000
Cd 1.415 -0.018 2.215

---

Entry 5:
5
Lattice="-1.212 1.386 4.970 0.424 -5.061 1.515 5.499 0.796 1.119" Properties=species:S:1:pos:R:3 comment="SrTlCd2Pt | Alexandria via LeMat-Bulk | PBE | optimized geometry" magmom_total_mub_per_atom=0.000 formation_energy_kj_per_mol_atoms=-24.8 polymorph_energy_mev_per_atom=0.0 energy_ev_per_atom=-2.641 pbc="T T T"
Cd -0.606 0.693 2.485
Cd 0.212 -2.530 0.757
Pt 0.000 0.000 0.000
Sr 2.749 0.398 0.560
Tl 2.355 -1.439 3.802

---

Entry 6:
5
Lattice="5.289 0.000 0.000 0.000 5.289 0.000 0.000 0.000 5.269" Properties=species:S:1:pos:R:3 comment="SrTlCd2Pt | Alexandria via LeMat-Bulk | PBE | optimized geometry" magmom_total_mub_per_atom=0.000 formation_energy_kj_per_mol_atoms=-23.7 polymorph_energy_mev_per_atom=11.5 energy_ev_per_atom=-2.629 pbc="T T T"
Sr 2.645 2.645 2.634
Cd 2.645 0.000 0.000
Cd 0.000 2.645 0.000
Tl 0.000 0.000 2.634
Pt 0.000 0.000 0.000

---

Entry 7:
5
Lattice="-4.217 4.079 0.010 -3.785 -3.908 -2.198 -1.363 -1.422 4.876" Properties=species:S:1:pos:R:3 comment="Sr2TlCdPt | Alexandria via LeMat-Bulk | PBE | optimized geometry" magmom_total_mub_per_atom=0.000 formation_energy_kj_per_mol_atoms=-37.6 polymorph_energy_mev_per_atom=19.9 energy_ev_per_atom=-2.927 pbc="T T T"
Pt 0.000 0.000 0.000
Tl -0.682 -0.711 2.438
Sr -2.109 2.040 0.005
Sr -1.893 -1.954 -1.099
Cd -4.683 -0.625 1.344

---

Entry 8:
5
Lattice="-0.710 -5.173 -1.099 3.032 0.510 -4.361 4.739 -1.318 3.141" Properties=species:S:1:pos:R:3 comment="SrTl2CdPt | Alexandria via LeMat-Bulk | PBE | optimized geometry" magmom_total_mub_per_atom=0.000 formation_energy_kj_per_mol_atoms=-20.3 energy_ev_per_atom=-2.885 pbc="T T T"
Tl 1.516 0.255 -2.180
Tl -0.355 -2.586 -0.550
Cd 3.531 -2.990 -1.160
Sr 2.370 -0.659 1.570
Pt 0.000 0.000 0.000

---

Entry 9:
10
Lattice="7.234 0.000 0.000 0.000 7.234 0.000 3.617 3.617 5.115" Properties=species:S:1:pos:R:3 comment="Sr2UCdPt6 | Alexandria via LeMat-Bulk | PBE | optimized geometry" magmom_total_mub_per_atom=0.000 formation_energy_kj_per_mol_atoms=-12.3 energy_ev_per_atom=-5.309 pbc="T T T"
U 3.617 3.617 0.000
Pt 1.851 1.851 0.000
Pt 7.235 7.234 2.617
Pt 5.384 5.383 0.000
Pt 3.617 3.617 2.498
Pt 1.851 5.383 0.000
Pt 5.384 1.850 0.000
Sr 7.234 3.617 2.558
Sr 3.618 7.234 2.558
Cd 0.000 0.000 0.000

---

Entry 10:
4
Lattice="-4.257 -2.072 2.243 -2.459 -4.030 -2.271 0.235 -4.766 2.161" Properties=species:S:1:pos:R:3 comment="SrYCdPt | Alexandria via LeMat-Bulk | PBE | optimized geometry" magmom_total_mub_per_atom=0.000 formation_energy_kj_per_mol_atoms=-52.6 energy_ev_per_atom=-4.321 pbc="T T T"
Cd -1.620 -2.717 0.533
Pt -4.861 -8.151 1.600
Y -3.241 -5.434 1.066
Sr 0.000 0.000 0.000

---

Entry 11:
5
Lattice="-5.255 0.240 2.500 -0.676 -5.719 -0.871 2.045 -0.910 4.385" Properties=species:S:1:pos:R:3 comment="Sr2ZnCdPt | Alexandria via LeMat-Bulk | PBE | optimized geometry" magmom_total_mub_per_atom=0.000 formation_energy_kj_per_mol_atoms=-40.0 energy_ev_per_atom=-2.734 pbc="T T T"
Cd -1.943 -3.194 3.007
Zn 1.023 -0.455 2.193
Sr -2.627 0.120 1.250
Sr -0.338 -2.860 -0.436
Pt 0.000 0.000 0.000

---

Entry 12:
5
Lattice="4.914 0.000 0.000 0.000 4.914 0.000 0.000 0.000 5.216" Properties=species:S:1:pos:R:3 comment="SrZn2CdPt | Alexandria via LeMat-Bulk | PBE | optimized geometry" magmom_total_mub_per_atom=0.000 formation_energy_kj_per_mol_atoms=-33.5 energy_ev_per_atom=-2.585 pbc="T T T"
Pt 0.000 0.000 0.000
Cd 0.000 0.000 2.608
Zn 0.000 2.457 0.000
Zn 2.457 0.000 0.000
Sr 2.457 2.457 2.608

---

Entry 13:
5
Lattice="-1.113 -3.317 -3.914 4.472 -2.590 0.924 -2.348 -2.930 3.150" Properties=species:S:1:pos:R:3 comment="SrZnCd2Pt | Alexandria via LeMat-Bulk | PBE | optimized geometry" magmom_total_mub_per_atom=0.000 formation_energy_kj_per_mol_atoms=-30.6 energy_ev_per_atom=-2.482 pbc="T T T"
Pt 0.000 0.000 0.000
Cd 2.236 -1.295 0.462
Cd -0.556 -1.658 -1.957
Sr 0.506 -4.419 0.080
Zn -1.174 -1.465 1.575

---

Entry 14:
5
Lattice="-3.702 -4.079 0.770 2.646 -2.979 -3.061 2.941 -1.850 4.343" Properties=species:S:1:pos:R:3 comment="SrZrCd2Pt | Alexandria via LeMat-Bulk | PBE | optimized geometry" magmom_total_mub_per_atom=0.000 formation_energy_kj_per_mol_atoms=10.2 energy_ev_per_atom=-3.515 pbc="T T T"
Pt 1.323 -1.490 -1.531
Cd 1.471 -0.925 2.171
Cd -1.851 -2.039 0.385
Zr 0.000 0.000 0.000
Sr 0.943 -4.454 1.026

---

Entry 15:
5
Lattice="5.281 0.000 0.000 0.000 5.049 0.000 0.000 0.000 5.281" Properties=species:S:1:pos:R:3 comment="SrZr2CdPt | Alexandria via LeMat-Bulk | PBE | optimized geometry" magmom_total_mub_per_atom=0.000 formation_energy_kj_per_mol_atoms=145.3 energy_ev_per_atom=-3.641 pbc="T T T"
Zr 0.000 0.000 2.640
Zr 2.640 0.000 0.000
Sr 0.000 0.000 0.000
Cd 2.640 2.524 2.640
Pt 0.000 2.524 0.000

---

Entry 16:
8
Lattice="7.358 0.000 0.000 0.000 7.358 0.000 3.679 3.679 2.861" Properties=species:S:1:pos:R:3 comment="TaCdPt2 | Alexandria via LeMat-Bulk | PBE | optimized geometry" magmom_total_mub_per_atom=0.000 formation_energy_kj_per_mol_atoms=1.1 energy_ev_per_atom=-6.201 pbc="T T T"
Pt 9.197 9.408 2.145
Pt 5.729 1.839 0.715
Pt 1.629 5.518 0.715
Pt 5.518 5.308 2.145
Cd 3.679 3.679 0.000
Cd 3.679 7.358 1.430
Ta 0.000 0.000 0.000
Ta 7.358 3.679 1.430

---

Entry 17:
10
Lattice="6.745 0.000 0.000 0.000 6.745 0.000 0.000 0.000 4.248" Properties=species:S:1:pos:R:3 comment="TaCd2Pt2 | Alexandria via LeMat-Bulk | PBE | optimized geometry" magmom_total_mub_per_atom=0.000 formation_energy_kj_per_mol_atoms=-14.1 energy_ev_per_atom=-5.299 pbc="T T T"
Pt 2.439 5.812 0.000
Pt 0.934 2.439 0.000
Pt 5.812 4.306 0.000
Pt 4.306 0.934 0.000
Cd 2.244 1.129 2.124
Cd 1.129 4.501 2.124
Cd 5.617 2.244 2.124
Cd 4.501 5.617 2.124
Ta 0.000 0.000 0.000
Ta 3.373 3.373 0.000

---

Entry 18:
4
Lattice="-4.096 -1.485 -2.219 -2.047 -1.331 -4.236 0.914 -5.515 0.507" Properties=species:S:1:pos:R:3 comment="TaCd2Pt | Alexandria via LeMat-Bulk | PBE | optimized geometry" magmom_total_mub_per_atom=0.000 formation_energy_kj_per_mol_atoms=-2.6 polymorph_energy_mev_per_atom=150.9 energy_ev_per_atom=-4.958 pbc="T T T"
Ta -1.262 -2.259 -1.454
Cd -3.933 -6.309 -4.477
Cd 0.908 -5.481 0.504
Pt -2.644 -3.964 -2.989

---

Entry 19:
4
Lattice="-2.915 -0.338 -0.353 0.470 -1.339 -2.593 0.395 -7.571 3.983" Properties=species:S:1:pos:R:3 comment="TaCd2Pt | Alexandria via LeMat-Bulk | PBE | optimized geometry" magmom_total_mub_per_atom=0.000 formation_energy_kj_per_mol_atoms=-17.2 polymorph_energy_mev_per_atom=0.0 energy_ev_per_atom=-5.109 pbc="T T T"
Ta -0.935 -6.350 1.426
Cd 0.390 -7.474 3.932
Cd -1.116 -2.879 -0.400
Pt 0.204 -3.903 2.053

---

Entry 20:
4
Lattice="-4.154 -2.410 -1.076 1.308 -0.138 -4.742 1.332 -2.492 0.440" Properties=species:S:1:pos:R:3 comment="TaCdPt2 | Alexandria via LeMat-Bulk | PBE | optimized geometry" magmom_total_mub_per_atom=0.000 formation_energy_kj_per_mol_atoms=-36.3 energy_ev_per_atom=-6.589 pbc="T T T"
Pt 0.000 0.000 0.000
Pt -1.423 -1.274 -2.909
Ta -1.411 -2.451 -0.318
Cd 1.320 -1.315 -2.151

---

| no. | V (Å³/atom) |
| --- | --- |
| 1 | 34.282 |
| 2 | 25.462 |
| 3 | 34.784 |
| 4 | 35.681 |
| 5 | 31.839 |
| 6 | 29.481 |
| 7 | 36.206 |
| 8 | 33.236 |
| 9 | 26.771 |
| 10 | 25.417 |
| 11 | 33.404 |
| 12 | 25.191 |
| 13 | 27.018 |
| 14 | 31.087 |
| 15 | 28.158 |
| 16 | 19.358 |
| 17 | 19.329 |
| 18 | 18.729 |
| 19 | 18.708 |
| 20 | 17.316 |